1.
Li2MnBe at its PBEsol-relaxed geometry, computed with SCAN.

## Properties
SG: P4/mmm
Formation enthalpy at 0 K (meV/atom): 413.6

Cell lengths 2.2560, 2.2560, 8.4983 Å; angles 90.00, 90.00, 90.00 degrees
Last column: nearest neighbours and their distance in Å.
Fractional coordinates of all 4 atoms:
Li 0.0000 0.0000 0.2454  4 Li 2.26
Li 0.0000 0.0000 0.7546  4 Li 2.26
Mn 0.5000 0.5000 0.5000  4 Mn 2.26
Be 0.5000 0.5000 0.0000  4 Be 2.26

***

2.
BeCuF2 at its PBEsol-relaxed geometry, computed with SCAN.

## Properties
SG: R-3m
VASP energy (eV per cell): -32.28

Cell lengths 8.6643, 8.6643, 8.6643 Å; angles 17.99, 17.99, 17.99 degrees
Last column: nearest neighbours and their distance in Å.
Fractional coordinates of all 4 atoms:
Be 0.0000 0.0000 0.0000  2 F 1.38
Cu 0.5000 0.5000 0.5000  6 Cu 2.71
F 0.0540 0.0540 0.0540  1 Be 1.38
F 0.9460 0.9460 0.9460  1 Be 1.38

***

3.
SiOsSe2 at its PBEsol-relaxed geometry, computed with SCAN.

## Properties
SG: Pmmm
VASP energy (eV per cell): -118.22

Cell lengths 2.9495, 4.5841, 4.6561 Å; angles 90.00, 90.00, 90.00 degrees
Last column: nearest neighbours and their distance in Å.
Fractional coordinates of all 4 atoms:
Si 0.0000 0.0000 0.0000  4 Se 2.73, 4 Os 2.76, 2 Si 2.95
Os 0.5000 0.0000 0.5000  4 Se 2.73, 4 Si 2.76, 2 Os 2.95
Se 0.0000 0.5000 0.5000  4 Os 2.73, 6 Se 2.76-2.95
Se 0.5000 0.5000 0.0000  4 Si 2.73, 6 Se 2.76-2.95

***

4.
ZrC at its PBEsol-relaxed geometry, computed with SCAN.

## Properties
SG: P6_3/mmc
Formation enthalpy at 0 K (meV/atom): 859.8

Cell lengths 4.6853, 4.6853, 5.8767 Å; angles 90.00, 90.00, 120.00 degrees
Last column: nearest neighbours and their distance in Å.
Fractional coordinates of all 8 atoms:
Zr 0.0000 0.0000 0.2500  5 Zr 2.71-2.94, 6 C 2.79
Zr 0.0000 0.0000 0.7500  5 Zr 2.71-2.94, 6 C 2.79
Zr 0.3333 0.6667 0.2500  2 C 2.27
Zr 0.6667 0.3333 0.7500  2 C 2.27
C 0.3333 0.6667 0.6360  1 C 1.34
C 0.3333 0.6667 0.8640  1 C 1.34
C 0.6667 0.3333 0.1360  1 C 1.34
C 0.6667 0.3333 0.3640  1 C 1.34